(1)
# CsPmMg2Cl8

An optimized crystal structure of CsPmMg2Cl8 (GGA-PBE, Alexandria via LeMat-Bulk).

Results
* magnetization: 0.00 μB per formula unit
* calculated volume: 387.77 Å³/f.u.
* symmetry: P-1 (2)
* formation energy from raw total energies: -23.7 eV/f.u.
* uncorrected energy: -3.94 eV per atom
* mass density: 2613 kg/m3

Cell lengths 6.688, 6.843, 9.531 Å; angles 71.84, 74.04, 72.75 degrees
Element x y z (fractional)
1 Cs 0.000 0.000 0.000
2 Pm 0.000 0.000 0.500
3 Mg 0.464 0.454 0.207
4 Mg 0.536 0.546 0.793
5 Cl 0.182 0.705 0.732
6 Cl 0.257 0.771 0.299
7 Cl 0.288 0.235 0.442
8 Cl 0.396 0.297 0.034
9 Cl 0.604 0.703 0.966
10 Cl 0.712 0.765 0.558
11 Cl 0.743 0.229 0.701
12 Cl 0.818 0.295 0.268

(2)
# Ho2GePt

An optimized crystal structure of Ho2GePt (GGA-PBE, Alexandria via LeMat-Bulk).

Results
* magnetization: 0.00 μB per formula unit
* calculated volume: 87.24 Å³/f.u.
* symmetry: P4/mmm (123)
* ΔH_f (0 K): -0.957 eV per atom
* uncorrected energy: -5.91 eV per atom
* mass density: 11374 kg/m3

Cell lengths 3.473, 3.473, 7.231 Å; angles 90.00, 90.00, 90.00 degrees
Element x y z (fractional)
1 Ho 0.000 0.000 0.241
2 Ho 0.000 0.000 0.759
3 Ge 0.500 0.500 0.500
4 Pt 0.500 0.500 0.000